(1)
Density functional theory data (PBE) for crystalline SrAcSe2 at its relaxed geometry.

a b c (Å): 3.804 5.430 5.430
angles (deg): 90.00 90.00 90.00
Fractional coordinates of all 4 atoms:
Sr: 0.500 0.500 0.500
Se: 0.000 0.500 0.000
Se: 0.000 0.000 0.500
Ac: 0.500 0.000 0.000

Output
N(E_F) = 0.512 states/eV per atom
Total DFT energy (no corrections) = -4.883 eV/atom
Uncorrected formation energy = -1.69 eV/atom
Offset from the most stable computed form = 1.00 eV/f.u.

(2)
Density functional theory data (PBE) for crystalline CaY6 at its relaxed geometry.

a b c (Å): 7.154 7.154 7.154
angles (deg): 109.47 109.47 109.47
Fractional coordinates of all 7 atoms:
Y: 0.250 0.750 0.500
Y: 0.500 0.750 0.250
Y: 0.250 0.500 0.750
Y: 0.500 0.250 0.750
Y: 0.750 0.250 0.500
Y: 0.750 0.500 0.250
Ca: 0.000 0.000 0.000

Output
N(E_F) = 1.286 states/eV per atom
Total DFT energy (no corrections) = -4.410 eV/atom
DFT formation energy = 1.42 eV per atom

(3)
Density functional theory data (PBE) for crystalline TbNiPt at its relaxed geometry.

a b c (Å): 5.258 5.258 5.258
angles (deg): 91.16 121.36 117.35
Fractional coordinates of all 6 atoms:
Tb: 0.750 0.870 0.120
Tb: 0.250 0.130 0.880
Pt: 0.000 0.500 0.500
Pt: 0.500 0.000 0.500
Ni: 0.000 0.500 0.000
Ni: 0.500 0.500 0.500

Output
N(E_F) = 0.480 states/eV per atom
Total DFT energy (no corrections) = -6.334 eV/atom
DFT formation energy = -0.85 eV per atom